# 1
# NaDyZnAg

A geometry-optimized NaDyZnAg structure (PBE, the Alexandria database).

Lattice parameters (Å, degrees): 7.0964 7.0964 7.0964 90.00 90.00 90.00
Closest atoms and distances in Å follow each position.
Space group F-43m (No. 216)
Asymmetric unit:
Na  0.0000  0.0000  0.0000 [4 per cell]  4 Zn 3.07, 4 Ag 3.07
Dy  0.0000  0.0000  0.5000 [4 per cell]  4 Ag 3.07, 4 Zn 3.07
Zn  0.2500  0.2500  0.2500 [4 per cell]  4 Dy 3.07, 4 Na 3.07
Ag  0.2500  0.2500  0.7500 [4 per cell]  4 Dy 3.07, 4 Na 3.07

Output
The calculation puts the formation energy from the elements at -0.3 eV/f.u.

***

# 2
# Nd2Dy2Ag

A geometry-optimized Nd2Dy2Ag structure (PBE, the Alexandria database).

Lattice parameters (Å, degrees): 3.6250 3.6250 22.9242 90.00 90.00 90.00
Closest atoms and distances in Å follow each position.
Space group I4/mmm (No. 139)
Asymmetric unit:
Nd  0.0000  0.0000  0.1924 [4 per cell]  8 Nd 3.63-3.68, 4 Dy 3.63
Dy  0.0000  0.0000  0.4197 [4 per cell]  4 Ag 3.16
Ag  0.0000  0.0000  0.0000 [2 per cell]  8 Dy 3.16

Output
The calculation puts the formation energy from the elements at -0.5 eV/f.u.

***

# 3
# Nd2DyAg4

A geometry-optimized Nd2DyAg4 structure (PBE, the Alexandria database).

Lattice parameters (Å, degrees): 5.3960 5.3960 12.9169 90.00 90.00 90.00
Closest atoms and distances in Å follow each position.
Space group I4/mmm (No. 139)
Asymmetric unit:
Nd  0.0000  0.0000  0.2201 [4 per cell]  4 Ag 3.03
Dy  0.0000  0.0000  0.5000 [2 per cell]  8 Ag 3.07
Ag  0.0000  0.5000  0.1141 [8 per cell]  1 Ag 2.95, 2 Nd 3.03, 2 Dy 3.07

Output
The calculation puts the formation energy from the elements at -0.7 eV/f.u.

***

# 4
# Nd3Dy4Ag4

A geometry-optimized Nd3Dy4Ag4 structure (PBE, the Alexandria database).

Lattice parameters (Å, degrees): 5.0532 7.6665 15.9541 90.00 90.00 90.00
Closest atoms and distances in Å follow each position.
Space group Immm (No. 71)
Asymmetric unit:
Nd  0.0000  0.0000  0.0000 [2 per cell]  6 Ag 3.20-3.49
Nd  0.0000  0.5000  0.1059 [4 per cell]  4 Ag 3.36, 1 Nd 3.38, 4 Dy 3.50
Dy  0.0000  0.2810  0.3250 [8 per cell]  4 Ag 2.89-3.06
Ag  0.0000  0.0000  0.2008 [4 per cell]  6 Dy 2.93-3.06, 1 Nd 3.20
Ag  0.0000  0.1861  0.5000 [4 per cell]  1 Ag 2.85, 2 Dy 2.89

Output
The calculation puts the formation energy from the elements at -1.3 eV/f.u.